Pm4Tl3Ni: relaxed, PBE.

Structure (CIF):
```
data_Pm4Tl3Ni
_space_group_name_H-M_alt 'P 4/m m m'
_space_group_IT_number 123
_space_group_name_Hall '-P 4 2'
_cell_length_a 3.6262
_cell_length_b 3.6262
_cell_length_c 16.5347
_cell_angle_alpha 90.00
_cell_angle_beta 90.00
_cell_angle_gamma 90.00
loop_
_atom_site_label
_atom_site_type_symbol
_atom_site_fract_x
_atom_site_fract_y
_atom_site_fract_z
_atom_site_occupancy
Pm1 Pm 0.0000 0.0000 0.0996 1
Pm2 Pm 0.0000 0.0000 0.3664 1
Tl1 Tl 0.5000 0.5000 0.2349 1
Tl2 Tl 0.5000 0.5000 0.5000 1
Ni1 Ni 0.5000 0.5000 0.0000 1
```

## Properties
Crystal system: tetragonal
Size of the total moment, μB per formula unit: 0.001
Energy of formation from the pure elements, meV per atom: -343